[1]
A relaxed structure of CsHg2Br, computed with PBE.

Cell lengths 6.1587, 6.1587, 6.1587 Å; angles 60.00, 60.00, 60.00 degrees
Atoms (fractional coordinates):
Cs 0.5000 0.5000 0.5000
Hg 0.2500 0.2500 0.2500
Hg 0.7500 0.7500 0.7500
Br 0.0000 0.0000 0.0000

symmetry: Fm-3m, No. 225
distance to the lowest polymorph of the same formula: 0.54 eV per formula unit

[2]
A relaxed structure of CsHg2Br5, computed with PBE.

Cell lengths 6.5057, 8.8291, 11.6695 Å; angles 70.73, 90.00, 90.00 degrees
Atoms (fractional coordinates):
Br 0.2500 0.4152 0.4366
Br 0.7500 0.5848 0.5634
Br 0.2500 0.9476 0.7901
Br 0.7500 0.0524 0.2099
Br 0.2500 0.3495 0.0957
Br 0.7500 0.6505 0.9043
Br 0.2500 0.7746 0.1385
Br 0.7500 0.2254 0.8615
Br 0.2500 0.9088 0.4357
Br 0.7500 0.0912 0.5643
Cs 0.2500 0.5313 0.7402
Cs 0.7500 0.4687 0.2598
Hg 0.2500 0.0509 0.1514
Hg 0.7500 0.9491 0.8486
Hg 0.2500 0.1196 0.5630
Hg 0.7500 0.8804 0.4370

symmetry: P2_1/m, No. 11
distance to the lowest polymorph of the same formula: 0.00 eV per formula unit

[3]
A relaxed structure of Cs2HgBr3, computed with PBE.

Cell lengths 4.9045, 5.5492, 10.7094 Å; angles 105.02, 103.24, 90.00 degrees
Atoms (fractional coordinates):
Cs 0.6545 0.6545 0.3090
Cs 0.3455 0.3455 0.6910
Hg 0.0000 0.0000 0.0000
Br 0.0000 0.5000 0.0000
Br 0.8362 0.8362 0.6724
Br 0.1638 0.1638 0.3276

symmetry: Immm, No. 71
final energy: -2.433 eV per atom

[4]
A relaxed structure of Cs2Hg2Br7, computed with PBE.

Cell lengths 5.9190, 9.4607, 9.4815 Å; angles 119.65, 79.99, 79.63 degrees
Atoms (fractional coordinates):
Cs 0.5016 0.8441 0.1537
Cs 0.4984 0.1559 0.8463
Hg 0.8337 0.3296 0.3299
Hg 0.1663 0.6704 0.6701
Br 0.8566 0.4664 0.1493
Br 0.1395 0.8534 0.5360
Br 0.1434 0.5336 0.8507
Br 0.8605 0.1466 0.4640
Br 0.6619 0.6634 0.6641
Br 0.0000 0.0000 0.0000
Br 0.3381 0.3366 0.3359

symmetry: P-1, No. 2
distance to the lowest polymorph of the same formula: 0.00 eV per formula unit

[5]
A relaxed structure of CsHgBr2, computed with PBE.

Cell lengths 7.2420, 7.4775, 7.4775 Å; angles 97.30, 111.56, 111.56 degrees
Atoms (fractional coordinates):
Cs 0.4822 0.5035 0.0039
Cs 0.4822 0.0039 0.5035
Hg 0.0029 0.8632 0.8632
Hg 0.9807 0.1268 0.1268
Br 0.9338 0.8745 0.4811
Br 0.9338 0.4811 0.8745
Br 0.5233 0.0316 0.0316
Br 0.2970 0.4464 0.4464

symmetry: Cm, No. 8
distance to the lowest polymorph of the same formula: 0.00 eV per formula unit

[6]
A relaxed structure of CsHg2Br6, computed with PBE.

Cell lengths 6.5181, 8.3550, 9.9311 Å; angles 59.23, 70.84, 67.04 degrees
Last column: magnetic moment on the atom in μB.
Atoms (fractional coordinates):
Cs 0.0000 0.5000 0.5000  0.00
Hg 0.2535 0.6484 0.8445  0.01
Hg 0.7465 0.3516 0.1555  0.01
Br 0.7625 0.6087 0.8663  0.00
Br 0.2375 0.3913 0.1337  0.00
Br 0.9283 0.9870 0.1563  0.34
Br 0.3555 0.7381 0.5508  0.02
Br 0.0717 0.0130 0.8437  0.34
Br 0.6445 0.2619 0.4492  0.02

symmetry: C2/m, No. 12
final energy: -1.922 eV per atom